A geometry-optimized Ac2Mg16Hg structure, computed with PBE.

Cell and atoms, written as extended XYZ:
```
19
Lattice="7.834 0.056 0.946 0.845 7.789 0.946 0.062 0.056 7.891" Properties=species:S:1:pos:R:3 pbc="T T T"
Ac 5.840 5.279 6.536
Ac 2.912 2.632 3.258
Mg 5.534 0.061 3.016
Mg 0.301 2.359 5.837
Mg 2.928 5.499 0.953
Mg 0.619 5.499 3.016
Mg 5.766 2.359 0.953
Mg 2.377 0.061 5.837
Mg 3.470 6.608 3.883
Mg 6.924 2.786 3.883
Mg 3.083 2.786 7.315
Mg 5.279 1.327 5.908
Mg 1.852 5.119 5.908
Mg 5.663 5.119 2.503
Mg 8.319 4.032 9.310
Mg 4.849 7.871 9.310
Mg 8.708 7.871 5.862
Mg 0.788 0.712 0.882
Hg 7.836 7.082 8.769
```

Summary:
E_tot: -1.901 eV per atom
Space group: R3m (160)
Formation energy from the elements: -2.08 eV per formula unit
Magnetization: 0.00 μB per cell

---

A geometry-optimized AgSn3Br8 structure, computed with PBE.

Cell and atoms, written as extended XYZ:
```
12
Lattice="8.741 0.000 0.000 -4.370 6.074 -4.158 0.000 -0.254 8.254" Properties=species:S:1:pos:R:3 pbc="T T T"
Ag 0.000 0.000 0.000
Sn 4.370 0.000 0.000
Sn 2.185 3.037 -2.079
Sn -2.185 3.037 -2.079
Br 0.000 2.940 4.033
Br 4.370 2.880 0.063
Br -1.979 5.845 2.100
Br 1.979 5.845 2.100
Br 4.370 3.096 4.157
Br 0.000 2.724 -0.061
Br 2.391 -0.025 1.996
Br 6.349 -0.025 1.996
```

Summary:
E_tot: -2.978 eV per atom
Formation energy from raw total energies: -0.624 eV per atom
Space group: C2/m (12)
Magnetization: 0.00 μB per cell

---

A geometry-optimized InSb2TeI structure, computed with PBE.

Cell and atoms, written as extended XYZ:
```
5
Lattice="5.757 0.000 0.000 0.000 5.757 0.000 0.000 0.000 5.582" Properties=species:S:1:pos:R:3 pbc="T T T"
I 2.879 2.879 2.791
Sb 0.000 2.879 0.000
Sb 2.879 0.000 0.000
Te 0.000 0.000 2.791
In 0.000 0.000 0.000
```

Summary:
E_tot: -2.542 eV per atom
Formation energy from raw total energies: 0.593 eV per atom
Space group: P4/mmm (123)
Energy relative to the lowest polymorph listed for this composition: 66 meV per atom
Magnetization: 0.00 μB per cell

---

A geometry-optimized Pa2CuSn structure, computed with PBE.

Cell and atoms, written as extended XYZ:
```
4
Lattice="5.119 0.000 0.000 2.559 4.433 0.000 2.559 1.478 4.184" Properties=species:S:1:pos:R:3 pbc="T T T"
Pa 7.678 4.433 3.136
Pa 2.559 1.478 1.047
Sn 0.000 0.000 0.000
Cu 5.119 2.955 2.092
```

Summary:
E_tot: -6.586 eV per atom
Space group: Fm-3m (225)
Formation energy from the elements: 0.75 eV per formula unit
Energy relative to the lowest polymorph listed for this composition: 236 meV per atom
Magnetization: 2.07 μB per cell

---

A geometry-optimized TbCeMgGe structure, computed with PBE.

Cell and atoms, written as extended XYZ:
```
4
Lattice="5.197 0.000 0.000 2.599 4.501 0.000 2.599 1.500 4.244" Properties=species:S:1:pos:R:3 pbc="T T T"
Ge 2.599 1.500 1.061
Tb 5.197 3.001 2.122
Mg 7.796 4.501 3.183
Ce 0.000 0.000 0.000
```

Summary:
E_tot: -4.502 eV per atom
Space group: F-43m (216)
Formation energy from the elements: -1.23 eV per formula unit
Magnetization: 1.07 μB per cell

---

A geometry-optimized NiGe2RhSe structure, computed with PBE.

Cell and atoms, written as extended XYZ:
```
5
Lattice="4.665 0.000 0.000 0.000 4.835 0.000 0.000 0.000 4.665" Properties=species:S:1:pos:R:3 pbc="T T T"
Ni 0.000 2.417 0.000
Ge 0.000 0.000 2.333
Ge 2.333 0.000 0.000
Rh 0.000 0.000 0.000
Se 2.333 2.417 2.333
```

Summary:
E_tot: -4.776 eV per atom
Formation energy from raw total energies: 0.394 eV per atom
Space group: P4/mmm (123)
Magnetization: 1.20 μB per cell

---

Question: Look up the E_tot of the fifth one.
Answer: -4.502 eV per atom